Entry 1:
## AlN2ClF (PBE-GGA)

Data for a relaxed structure of AlN2ClF.

Raw formation energy   1.49 eV per atom
SG   P4/mmm
V   66.34 Å³ per cell

a = 3.649 Å, b = 3.649 Å, c = 4.983 Å
α = 90.00°, β = 90.00°, γ = 90.00°
Fractional coordinates of all 5 atoms:
Al  0.000  0.000  0.000
N  0.000  0.500  0.500
N  0.500  0.000  0.500
Cl  0.500  0.500  0.500
F  0.500  0.500  0.000

Entry 2:
## AlN2ClF (PBE-GGA)

Data for a relaxed structure of AlN2ClF.

Raw formation energy   0.23 eV per atom
SG   P4/mmm
V   60.15 Å³ per cell

a = 4.065 Å, b = 4.065 Å, c = 3.640 Å
α = 90.00°, β = 90.00°, γ = 90.00°
Fractional coordinates of all 5 atoms:
Al  0.000  0.000  0.000
N  0.000  0.500  0.000
N  0.500  0.000  0.000
Cl  0.500  0.500  0.500
F  0.000  0.000  0.500

Entry 3:
## AlNClF2 (PBE-GGA)

Data for a relaxed structure of AlNClF2.

Raw formation energy   0.36 eV per atom
SG   P4/mmm
V   79.40 Å³ per cell

a = 4.887 Å, b = 4.887 Å, c = 3.324 Å
α = 90.00°, β = 90.00°, γ = 90.00°
Fractional coordinates of all 5 atoms:
Al  0.000  0.000  0.000
N  0.500  0.500  0.000
Cl  0.500  0.500  0.500
F  0.000  0.500  0.500
F  0.500  0.000  0.500

Entry 4:
## AlNCl2F (PBE-GGA)

Data for a relaxed structure of AlNCl2F.

Raw formation energy   -0.10 eV per atom
SG   P4/mmm
V   85.49 Å³ per cell

a = 4.731 Å, b = 4.731 Å, c = 3.820 Å
α = 90.00°, β = 90.00°, γ = 90.00°
Fractional coordinates of all 5 atoms:
Al  0.000  0.000  0.000
N  0.000  0.000  0.500
Cl  0.000  0.500  0.000
Cl  0.500  0.000  0.000
F  0.500  0.500  0.500

Entry 5:
## AlNClF2 (PBE-GGA)

Data for a relaxed structure of AlNClF2.

Raw formation energy   -1.18 eV per atom
SG   P4/mmm
V   56.37 Å³ per cell

a = 3.555 Å, b = 3.555 Å, c = 4.460 Å
α = 90.00°, β = 90.00°, γ = 90.00°
Fractional coordinates of all 5 atoms:
Al  0.000  0.000  0.000
N  0.000  0.000  0.500
Cl  0.500  0.500  0.500
F  0.000  0.500  0.000
F  0.500  0.000  0.000

Entry 6:
## Al2PdClF (PBE-GGA)

Data for a relaxed structure of Al2PdClF.

Raw formation energy   0.14 eV per atom
SG   P4/mmm
V   136.87 Å³ per cell

a = 5.510 Å, b = 5.510 Å, c = 4.508 Å
α = 90.00°, β = 90.00°, γ = 90.00°
Fractional coordinates of all 5 atoms:
Al  0.000  0.500  0.000
Al  0.500  0.000  0.000
Pd  0.000  0.000  0.500
Cl  0.000  0.000  0.000
F  0.500  0.500  0.500

Entry 7:
## RbAlClF3 (PBE-GGA)

Data for a relaxed structure of RbAlClF3.

Raw formation energy   -2.81 eV per atom
SG   C2/c
V   276.62 Å³ per cell

a = 9.470 Å, b = 9.470 Å, c = 5.159 Å
α = 91.30°, β = 91.30°, γ = 143.17°
Fractional coordinates of all 12 atoms:
Rb  0.229  0.771  0.750
Rb  0.771  0.229  0.250
Al  0.034  0.966  0.250
Al  0.966  0.034  0.750
Cl  0.334  0.666  0.250
Cl  0.666  0.334  0.750
F  0.127  0.873  0.250
F  0.169  0.200  0.480
F  0.200  0.169  0.980
F  0.800  0.831  0.020
F  0.831  0.800  0.520
F  0.873  0.127  0.750

Entry 8:
## AlS2ClF (PBE-GGA)

Data for a relaxed structure of AlS2ClF.

Raw formation energy   0.36 eV per atom
SG   P4/mmm
V   96.33 Å³ per cell

a = 4.129 Å, b = 4.129 Å, c = 5.649 Å
α = 90.00°, β = 90.00°, γ = 90.00°
Fractional coordinates of all 5 atoms:
Al  0.000  0.000  0.000
S  0.000  0.500  0.500
S  0.500  0.000  0.500
Cl  0.500  0.500  0.000
F  0.500  0.500  0.500